(P)
Computed, not measured: an optimized crystal structure of OsRh2W at the GGA-PBEsol level of DFT.

Cell lengths 2.7084, 4.3431, 4.7625 Å; angles 90.00, 90.00, 90.00 degrees
With the nearest neighbours (Å) after each atom.
Atoms (fractional coordinates):
W  0.5000  0.0000  0.5347  2 Os 2.67, 8 Rh 2.70-2.77, 2 W 2.71
Rh  0.0000  0.0000  0.0428  4 Rh 2.67-2.71, 4 Os 2.68, 4 W 2.71-2.77
Rh  0.0000  0.5000  0.7155  4 Rh 2.67-2.71, 4 W 2.70, 4 Os 2.70-2.77
Os  0.5000  0.5000  0.2070  2 W 2.67, 8 Rh 2.68-2.77, 2 Os 2.71



(Q)
Computed, not measured: an optimized crystal structure of OsRh2W at the GGA-PBEsol level of DFT.

Cell lengths 3.2769, 3.2769, 5.3717 Å; angles 90.00, 90.00, 90.00 degrees
With the nearest neighbours (Å) after each atom.
Atoms (fractional coordinates):
W  0.5000  0.5000  0.0000  8 Rh 2.68, 2 Os 2.69
Os  0.5000  0.5000  0.5000  8 Rh 2.68, 2 W 2.69
Rh  0.0000  0.0000  0.2499  4 W 2.68, 4 Os 2.68, 2 Rh 2.68-2.69
Rh  0.0000  0.0000  0.7501  4 W 2.68, 4 Os 2.68, 2 Rh 2.68-2.69



The structure with the most favorable energy is (P); the runner-up is 450 meV per atom above it.